[1]
DFT (GGA-PBEsol) results for crystalline LiAg at its relaxed geometry.

N(E_F)	0.577	states/eV/f.u.
VASP energy	-2.77	eV/atom
size of the total moment	0.00	μB per formula unit

a b c (Å): 2.756 10.232 4.580
angles (deg): 90.00 90.00 90.00
Space group Cmcm (No. 63)
Unique sites:
Li 0.000 0.160 0.250 x4
Ag 0.000 0.421 0.250 x4



[2]
DFT (GGA-PBEsol) results for crystalline MnIrPt2 at its relaxed geometry.

N(E_F)	6.092	states/eV/f.u.
VASP energy	-8.21	eV/atom
size of the total moment	3.47	μB per formula unit

a b c (Å): 6.159 6.159 6.159
angles (deg): 90.00 90.00 90.00
Space group Fm-3m (No. 225)
Unique sites:
Mn 0.000 0.000 0.000 x4
Ir 0.000 0.000 0.500 x4
Pt 0.250 0.250 0.250 x8



[3]
DFT (GGA-PBEsol) results for crystalline CaMoRh2 at its relaxed geometry.

N(E_F)	3.764	states/eV/f.u.
energy above the lowest structure with this stoichiometry	0	meV per atom
size of the total moment	0.00	μB per formula unit

a b c (Å): 2.935 2.935 7.632
angles (deg): 90.00 90.00 90.00
Space group P4/mmm (No. 123)
Unique sites:
Ca 0.000 0.000 0.000 x1
Mo 0.000 0.000 0.500 x1
Rh 0.500 0.500 0.286 x2



[4]
DFT (GGA-PBEsol) results for crystalline NiIr at its relaxed geometry.

N(E_F)	3.020	states/eV/f.u.
VASP energy	-7.97	eV/atom
size of the total moment	0.00	μB per formula unit

a b c (Å): 9.468 2.672 4.387
angles (deg): 90.00 117.22 90.00
Space group C2/m (No. 12)
Unique sites:
Ni 0.127 0.000 0.298 x4
Ir 0.123 0.500 0.801 x4



[5]
DFT (GGA-PBEsol) results for crystalline Mg3NiN at its relaxed geometry.

N(E_F)	1.991	states/eV/f.u.
formation energy (no corrections)	-244	meV per atom
size of the total moment	0.00	μB per formula unit

a b c (Å): 4.153 4.153 4.153
angles (deg): 90.00 90.00 90.00
Space group Pm-3m (No. 221)
Unique sites:
Mg 0.000 0.000 0.500 x3
Ni 0.500 0.500 0.500 x1
N 0.000 0.000 0.000 x1



[6]
DFT (GGA-PBEsol) results for crystalline K2ZrCu at its relaxed geometry.

N(E_F)	4.677	states/eV/f.u.
energy above the lowest structure with this stoichiometry	0	meV per atom
size of the total moment	0.01	μB per formula unit

a b c (Å): 2.994 5.937 6.190
angles (deg): 90.00 90.00 90.00
Space group Pmmm (No. 47)
Unique sites:
K 0.000 0.000 0.237 x2
Zr 0.500 0.500 0.500 x1
Cu 0.500 0.500 0.000 x1



[7]
DFT (GGA-PBEsol) results for crystalline ZnFe3 at its relaxed geometry.

N(E_F)	3.233	states/eV/f.u.
VASP energy	-7.05	eV/atom
size of the total moment	6.55	μB per formula unit

a b c (Å): 2.900 3.981 7.909
angles (deg): 90.00 90.00 90.00
Space group Immm (No. 71)
Unique sites:
Zn 0.000 0.000 0.000 x2
Fe 0.000 0.000 0.500 x2
Fe 0.000 0.500 0.241 x4



[8]
DFT (GGA-PBEsol) results for crystalline WSe5 at its relaxed geometry.

N(E_F)	4.796	states/eV/f.u.
formation energy (no corrections)	1212	meV per atom
energy above the lowest structure with this stoichiometry	963	meV per atom
size of the total moment	1.75	μB per formula unit

a b c (Å): 7.732 7.732 7.732
angles (deg): 90.00 90.00 90.00
Space group F-43m (No. 216)
Unique sites:
W 0.000 0.000 0.000 x4
Se 0.126 0.126 0.626 x16
Se 0.250 0.250 0.250 x4